! NaP2RhCl (GGA-PBE, optimized geometry); values from VASP
&SYSTEM
  ibrav = 0, nat = 5, ntyp = 4
/
ATOMIC_SPECIES
Cl 35.45 Cl.upf
P 30.97 P.upf
Na 22.99 Na.upf
Rh 102.91 Rh.upf
CELL_PARAMETERS angstrom
4.372 0.000 0.000
0.000 4.372 0.000
0.000 0.000 8.302
ATOMIC_POSITIONS angstrom
Cl 0.000 0.000 4.151
P 0.000 2.186 0.000
P 2.186 0.000 0.000
Na 2.186 2.186 4.151
Rh 0.000 0.000 0.000
! E above lowest polymorph = 0.00 eV/f.u.
! total energy = -22.233 eV for the cell shown
! total magnetization = 0.08 μB per atom
! raw formation energy = -0.1793 eV per atom